CoGeBr2: relaxed, GGA-PBE.

Summary:
**Volume**: 25.104 Å³/atom
**Energy above the most stable polymorph in this dataset**: 0 kJ/mol of formula units
**Theoretical density**: 4.8 g/cm³
**Formation energy (no corrections)**: -0.0126 eV/atom
**Space-group type**: I-42d

Cell: 7.011 7.011 7.011 Å, 96.10 96.10 141.95°
Element x y z (fractional)
1 Co 0.000 0.000 0.000
2 Co 0.750 0.250 0.500
3 Ge 0.250 0.750 0.500
4 Ge 0.500 0.500 0.000
5 Br 0.375 0.214 0.339
6 Br 0.786 0.125 0.161
7 Br 0.875 0.036 0.661
8 Br 0.964 0.625 0.839